Sc2V2Bi | PBE | optimized geometry

Unit cell a=7.4200 b=7.4200 c=3.6895 alpha=90.00 beta=90.00 gamma=90.00
With the nearest neighbours (Å) after each atom.
Atoms (fractional coordinates):
V (0.4075, 0.9075, 0.0000)  1 V 1.94
V (0.9075, 0.5925, 0.0000)  1 V 1.94
V (0.0925, 0.4075, 0.0000)  1 V 1.94
V (0.5925, 0.0925, 0.0000)  1 V 1.94
Sc (0.8057, 0.3057, 0.5000)  6 V 2.90-2.92
Sc (0.6943, 0.8057, 0.5000)  6 V 2.90-2.92
Sc (0.1943, 0.6943, 0.5000)  6 V 2.90-2.92
Sc (0.3057, 0.1943, 0.5000)  6 V 2.90-2.92
Bi (0.0000, 0.0000, 0.0000)  4 V 3.10, 8 Sc 3.26
Bi (0.5000, 0.5000, 0.0000)  4 V 3.10, 8 Sc 3.26

Output
* energy of formation: 0.052 eV per atom
* magnetization: 0.00 μB per cell


SrTc2PdO | PBE | optimized geometry

Unit cell a=4.0568 b=5.3173 c=4.0568 alpha=90.00 beta=90.00 gamma=90.00
With the nearest neighbours (Å) after each atom.
Atoms (fractional coordinates):
O (0.0000, 0.0000, 0.0000)  4 Tc 2.03
Tc (0.5000, 0.0000, 0.0000)  2 O 2.03
Tc (0.0000, 0.0000, 0.5000)  2 O 2.03
Pd (0.0000, 0.5000, 0.0000)  2 O 2.66, 4 Sr 2.87
Sr (0.5000, 0.5000, 0.5000)  4 Pd 2.87

Output
* magnetization: 0.01 μB per cell
* formation energy without anion corrections: 0.208 eV per atom


PrH2Ru | PBE | optimized geometry

Unit cell a=3.2441 b=3.2441 c=5.5267 alpha=72.93 beta=72.93 gamma=60.00
With the nearest neighbours (Å) after each atom.
Atoms (fractional coordinates):
Ru (0.0000, 0.0000, 0.0000)  6 H 1.98
H (0.7086, 0.7086, 0.8743)  3 Ru 1.98
H (0.2914, 0.2914, 0.1257)  3 Ru 1.98
Pr (0.5000, 0.5000, 0.5000)  6 H 2.70

Output
* relative energy among the computed polymorphs: 0.189 eV per atom
* magnetization: 0.00 μB per cell


LiLaRh2C | PBE | optimized geometry

Unit cell a=4.2131 b=4.2131 c=4.3789 alpha=90.00 beta=90.00 gamma=90.00
With the nearest neighbours (Å) after each atom.
Atoms (fractional coordinates):
Li (0.0000, 0.0000, 0.5000)  2 C 2.19
La (0.5000, 0.5000, 0.5000)  4 Li 2.98, 8 Rh 3.04
Rh (0.0000, 0.5000, 0.0000)  2 C 2.11
Rh (0.5000, 0.0000, 0.0000)  2 C 2.11
C (0.0000, 0.0000, 0.0000)  4 Rh 2.11, 2 Li 2.19

Output
* energy of formation: -0.209 eV per atom
* magnetization: 0.00 μB per cell


Nd2SmN | PBE | optimized geometry

Unit cell a=3.5902 b=3.5902 c=10.0094 alpha=79.67 beta=79.67 gamma=60.00
With the nearest neighbours (Å) after each atom.
Atoms (fractional coordinates):
Nd (0.1197, 0.1197, 0.6410)  3 N 2.49
Nd (0.8803, 0.8803, 0.3590)  3 N 2.49
N (0.5000, 0.5000, 0.5000)  6 Nd 2.49
Sm (0.0000, 0.0000, 0.0000)  2 Nd 3.52, 6 Sm 3.59

Output
* magnetization: 0.00 μB per cell
* formation energy without anion corrections: -0.554 eV per atom


ZrUCo | PBE | optimized geometry

Unit cell a=3.3197 b=6.3504 c=11.3732 alpha=87.81 beta=81.61 gamma=74.85
With the nearest neighbours (Å) after each atom.
Atoms (fractional coordinates):
Zr (0.8876, 0.2248, 0.5000)  4 Co 2.77, 2 U 2.93
Zr (0.1376, 0.7248, 0.0000)  4 Co 2.77, 2 U 2.93
Zr (0.6124, 0.7752, 0.5000)  4 Co 2.77, 2 U 2.93
Zr (0.8624, 0.2752, 0.0000)  4 Co 2.77, 2 U 2.93
U (0.6086, 0.5000, 0.7828)  2 Co 2.41
U (0.8914, 0.5000, 0.2172)  2 Co 2.41
U (0.8586, 0.0000, 0.2828)  2 Co 2.41
U (0.1414, 0.0000, 0.7172)  2 Co 2.41
Co (0.1862, 0.5000, 0.6275)  2 U 2.41
Co (0.5638, 0.0000, 0.8725)  2 U 2.41
Co (0.3138, 0.5000, 0.3725)  2 U 2.41
Co (0.4362, 0.0000, 0.1275)  2 U 2.41

Output
* energy of formation: 0.047 eV per atom
* magnetization: 5.69 μB per cell


Sr2MgAg4Sn3 | PBE | optimized geometry

Unit cell a=4.6434 b=4.6434 c=11.8947 alpha=90.00 beta=90.00 gamma=90.00
With the nearest neighbours (Å) after each atom.
Atoms (fractional coordinates):
Ag (0.5000, 0.5000, 0.0000)  4 Sn 2.82
Ag (0.0000, 0.0000, 0.0000)  4 Sn 2.82
Ag (0.0000, 0.5000, 0.3648)  3 Sn 2.73-2.82, 2 Mg 2.82
Ag (0.5000, 0.0000, 0.6352)  3 Sn 2.73-2.82, 2 Mg 2.82
Sr (0.5000, 0.0000, 0.2409)  6 Sn 3.52-3.86, 8 Ag 3.60-3.69, 2 Mg 3.86
Sr (0.0000, 0.5000, 0.7591)  6 Sn 3.52-3.86, 8 Ag 3.60-3.69, 2 Mg 3.86
Sn (0.5000, 0.0000, 0.8651)  5 Ag 2.73-2.82
Sn (0.0000, 0.5000, 0.1349)  5 Ag 2.73-2.82
Sn (0.0000, 0.0000, 0.5000)  4 Ag 2.82
Mg (0.5000, 0.5000, 0.5000)  4 Ag 2.82

Output
* energy of formation: -0.353 eV per atom
* magnetization: 0.00 μB per cell


TcGe2OsO | PBE | optimized geometry

Unit cell a=4.9828 b=3.6285 c=4.9828 alpha=90.00 beta=90.00 gamma=90.00
With the nearest neighbours (Å) after each atom.
Atoms (fractional coordinates):
Ge (0.5000, 0.0000, 0.0000)  2 Os 2.49
Ge (0.0000, 0.0000, 0.5000)  2 Os 2.49
Tc (0.5000, 0.5000, 0.5000)  8 Ge 3.08
O (0.0000, 0.5000, 0.0000)  2 Os 1.81
Os (0.0000, 0.0000, 0.0000)  2 O 1.81

Output
* magnetization: 3.07 μB per cell
* formation energy without anion corrections: 0.558 eV per atom


LaMnTc2 | PBE | optimized geometry

Unit cell a=3.1202 b=3.1211 c=7.3632 alpha=90.00 beta=90.00 gamma=90.00
With the nearest neighbours (Å) after each atom.
Atoms (fractional coordinates):
Tc (0.0000, 0.0000, 0.9250)  4 Mn 2.56, 1 Tc 2.58
Tc (0.0000, 0.0000, 0.5750)  4 Mn 2.56, 1 Tc 2.58
La (0.5000, 0.5000, 0.2500)  4 La 3.12, 8 Tc 3.26
Mn (0.5000, 0.5000, 0.7500)  8 Tc 2.56

Output
* energy of formation: 0.320 eV per atom
* relative energy among the computed polymorphs: 0.105 eV per atom
* magnetization: 1.44 μB per cell


SrScIn | PBE | optimized geometry

Unit cell a=5.6144 b=5.6144 c=11.1944 alpha=90.00 beta=90.00 gamma=120.00
With the nearest neighbours (Å) after each atom.
Atoms (fractional coordinates):
Sr (0.3333, 0.6667, 0.2500)  3 In 3.24
Sr (0.6667, 0.3333, 0.7500)  3 In 3.24
Sc (0.0000, 0.0000, 0.0000)  2 In 2.80
Sc (0.0000, 0.0000, 0.5000)  2 In 2.80
In (0.0000, 0.0000, 0.2500)  2 Sc 2.80
In (0.0000, 0.0000, 0.7500)  2 Sc 2.80

Output
* energy of formation: 0.613 eV per atom
* relative energy among the computed polymorphs: 0.928 eV per atom
* magnetization: 0.58 μB per cell


La2GaAgH | PBE | optimized geometry

Unit cell a=5.0598 b=5.0598 c=4.2894 alpha=90.00 beta=90.00 gamma=90.00
With the nearest neighbours (Å) after each atom.
Atoms (fractional coordinates):
La (0.0000, 0.5000, 0.0000)  2 H 2.53
La (0.5000, 0.0000, 0.0000)  2 H 2.53
Ga (0.5000, 0.5000, 0.5000)  8 La 3.32, 4 Ag 3.58
Ag (0.0000, 0.0000, 0.5000)  2 H 2.14
H (0.0000, 0.0000, 0.0000)  2 Ag 2.14

Output
* relative energy among the computed polymorphs: 0.000 eV per atom
* magnetization: 0.00 μB per cell


Pu2PtSe | PBE | optimized geometry

Unit cell a=4.2181 b=4.0151 c=11.5741 alpha=99.99 beta=90.00 gamma=90.00
With the nearest neighbours (Å) after each atom.
Atoms (fractional coordinates):
Pt (0.7500, 0.5470, 0.0941)  7 Pu 2.93-3.19, 2 Pt 3.01
Pt (0.2500, 0.4530, 0.9059)  7 Pu 2.93-3.19, 2 Pt 3.01
Pu (0.2500, 0.3212, 0.6423)  5 Se 2.93-2.95, 1 Pt 3.00
Pu (0.7500, 0.6788, 0.3577)  5 Se 2.93-2.95, 1 Pt 3.00
Pu (0.2500, 0.0617, 0.1235)  6 Pt 2.93-3.19, 1 Se 2.97
Pu (0.7500, 0.9383, 0.8765)  6 Pt 2.93-3.19, 1 Se 2.97
Se (0.7500, 0.8080, 0.6161)  6 Pu 2.93-2.97
Se (0.2500, 0.1920, 0.3839)  6 Pu 2.93-2.97

Output
* relative energy among the computed polymorphs: 0.000 eV per atom
* magnetization: 0.39 μB per cell
* formation energy without anion corrections: -1.085 eV per atom


CeZn2SiPt4 | PBE | optimized geometry

Unit cell a=4.3214 b=4.3214 c=8.8275 alpha=75.83 beta=75.83 gamma=60.00
With the nearest neighbours (Å) after each atom.
Atoms (fractional coordinates):
Pt (0.4035, 0.4035, 0.7894)  1 Si 2.45, 3 Zn 2.53
Pt (0.1368, 0.1368, 0.5895)  3 Si 2.61, 4 Zn 2.81, 3 Pt 2.92
Pt (0.5965, 0.5965, 0.2106)  1 Si 2.45, 3 Zn 2.53
Pt (0.8632, 0.8632, 0.4105)  3 Si 2.61, 4 Zn 2.81, 3 Pt 2.92
Zn (0.2473, 0.2473, 0.2580)  7 Pt 2.53-2.81
Zn (0.7527, 0.7527, 0.7420)  7 Pt 2.53-2.81
Si (0.5000, 0.5000, 0.5000)  8 Pt 2.45-2.61
Ce (0.0000, 0.0000, 0.0000)  6 Pt 3.07, 6 Zn 3.32

Output
* magnetization: 0.24 μB per cell
* formation energy without anion corrections: -0.733 eV per atom


ThGa5Ir2Pt | PBE | optimized geometry

Unit cell a=4.2971 b=4.2971 c=10.1141 alpha=90.00 beta=90.00 gamma=90.00
With the nearest neighbours (Å) after each atom.
Atoms (fractional coordinates):
Ir (0.5000, 0.5000, 0.2698)  5 Ga 2.33-2.46
Ir (0.5000, 0.5000, 0.7302)  5 Ga 2.33-2.46
Ga (0.5000, 0.0000, 0.1520)  2 Ir 2.46, 2 Pt 2.64
Ga (0.0000, 0.5000, 0.8480)  2 Ir 2.46, 2 Pt 2.64
Ga (0.5000, 0.5000, 0.5000)  2 Ir 2.33
Ga (0.5000, 0.0000, 0.8480)  2 Ir 2.46, 2 Pt 2.64
Ga (0.0000, 0.5000, 0.1520)  2 Ir 2.46, 2 Pt 2.64
Th (0.0000, 0.0000, 0.5000)  4 Ga 3.04
Pt (0.0000, 0.0000, 0.0000)  8 Ga 2.64

Output
* energy of formation: -0.321 eV per atom
* magnetization: 0.00 μB per cell


ScCdTe2 | PBE | optimized geometry

Unit cell a=4.1757 b=4.1757 c=8.0277 alpha=74.93 beta=74.93 gamma=60.00
With the nearest neighbours (Å) after each atom.
Atoms (fractional coordinates):
Te (0.0749, 0.0749, 0.7754)  3 Sc 2.98, 3 Cd 3.20
Te (0.2597, 0.2597, 0.2209)  3 Sc 2.93, 3 Cd 3.22
Sc (0.6656, 0.6656, 0.0033)  6 Te 2.93-2.98
Cd (0.4999, 0.4999, 0.5004)  6 Te 3.20-3.22

Output
* magnetization: 0.00 μB per cell
* formation energy without anion corrections: -0.714 eV per atom


ReSi2W | PBE | optimized geometry

Unit cell a=3.9487 b=2.8004 c=5.2619 alpha=89.79 beta=90.00 gamma=90.00
With the nearest neighbours (Å) after each atom.
Atoms (fractional coordinates):
W (0.5000, 0.2500, 0.2500)  8 Si 2.71-2.73, 2 W 2.80, 4 Re 2.98
Re (0.5000, 0.7500, 0.7500)  4 Si 2.42
Si (0.0000, 0.7409, 0.4843)  2 Re 2.42, 1 Si 2.47, 2 W 2.71
Si (0.0000, 0.7591, 0.0157)  2 Re 2.42, 1 Si 2.47, 2 W 2.71

Output
* relative energy among the computed polymorphs: 0.437 eV per atom
* magnetization: 0.00 μB per cell
* formation energy without anion corrections: 0.135 eV per atom


YOs2RhI | PBE | optimized geometry

Unit cell a=5.0018 b=5.7050 c=5.0018 alpha=90.00 beta=90.00 gamma=90.00
With the nearest neighbours (Å) after each atom.
Atoms (fractional coordinates):
Y (0.0000, 0.0000, 0.0000)  4 Os 2.50
Os (0.5000, 0.0000, 0.0000)  2 Y 2.50
Os (0.0000, 0.0000, 0.5000)  2 Y 2.50
Rh (0.5000, 0.5000, 0.5000)  4 I 3.54, 8 Os 3.79
I (0.0000, 0.5000, 0.0000)  2 Y 2.85

Output
* magnetization: 5.04 μB per cell
* formation energy without anion corrections: 2.477 eV per atom


KCdAgCl6 | PBE | optimized geometry

Unit cell a=6.7583 b=6.7583 c=6.9042 alpha=90.01 beta=90.00 gamma=59.99
With the nearest neighbours (Å) after each atom.
Atoms (fractional coordinates):
Cl (0.0132, 0.6208, 0.7147)  1 Ag 2.54, 1 Cd 2.65
Cl (0.3660, 0.6208, 0.2852)  1 Ag 2.54, 1 Cd 2.66
Cl (0.0131, 0.3661, 0.2853)  1 Ag 2.54, 1 Cd 2.66
Cl (0.3660, 0.0132, 0.7147)  1 Ag 2.54, 1 Cd 2.65
Cl (0.6207, 0.0132, 0.2853)  1 Ag 2.54, 1 Cd 2.66
Cl (0.6208, 0.3660, 0.7147)  1 Ag 2.54, 1 Cd 2.66
K (0.0000, 0.0000, 0.0000)  6 Cl 3.20
Ag (0.3333, 0.3333, 0.5000)  6 Cl 2.54
Cd (0.6667, 0.6667, 0.5000)  6 Cl 2.65-2.66

Output
* magnetization: 2.07 μB per cell
* formation energy without anion corrections: -0.859 eV per atom


Cs2MnPd | PBE | optimized geometry

Unit cell a=5.6869 b=5.6869 c=5.6869 alpha=60.00 beta=60.00 gamma=60.00
With the nearest neighbours (Å) after each atom.
Atoms (fractional coordinates):
Cs (0.2500, 0.2500, 0.2500)  4 Pd 3.48, 4 Mn 3.48
Cs (0.7500, 0.7500, 0.7500)  4 Pd 3.48, 4 Mn 3.48
Mn (0.0000, 0.0000, 0.0000)  8 Cs 3.48
Pd (0.5000, 0.5000, 0.5000)  8 Cs 3.48

Output
* energy of formation: 0.902 eV per atom
* magnetization: 5.00 μB per cell


KNaAl6Si6H4O24 | PBE | optimized geometry

Unit cell a=5.2104 b=9.0635 c=20.2649 alpha=90.00 beta=95.14 gamma=90.00
With the nearest neighbours (Å) after each atom.
Atoms (fractional coordinates):
O (0.1105, 0.7518, 0.4453)  1 Si 1.63
O (0.6252, 0.7488, 0.9501)  3 Al 1.75-1.88
O (0.3748, 0.2512, 0.0499)  3 Al 1.75-1.88
O (0.2599, 0.8699, 0.3328)  2 Si 1.64-1.66
O (0.9669, 0.4516, 0.0551)  1 Si 1.66
O (0.1105, 0.2482, 0.9453)  1 Si 1.63
O (0.8987, 0.5963, 0.1681)  2 Si 1.64-1.67
O (0.8987, 0.4037, 0.6681)  2 Si 1.64-1.67
O (0.9539, 0.9416, 0.5496)  1 H 0.97
O (0.7582, 0.1901, 0.8430)  2 Si 1.64-1.66
O (0.5451, 0.4364, 0.9509)  1 H 0.97
O (0.0331, 0.4516, 0.4449)  1 Si 1.66
O (0.2647, 0.6044, 0.6708)  1 Si 1.63, 1 Al 1.76
O (0.1013, 0.4037, 0.8319)  2 Si 1.64-1.67
O (0.2190, 0.3083, 0.3426)  1 Si 1.62, 1 Al 1.75
O (0.7353, 0.6044, 0.8292)  1 Si 1.63, 1 Al 1.76
O (0.0461, 0.0584, 0.4504)  1 H 0.97
O (0.6252, 0.2512, 0.4501)  3 Al 1.75-1.88
O (0.7810, 0.6917, 0.6574)  1 Si 1.62, 1 Al 1.75
O (0.7401, 0.8699, 0.1672)  2 Si 1.64-1.66
O (0.4607, 0.9440, 0.0544)  1 Si 1.65
O (0.5935, 0.9119, 0.8300)  1 Si 1.61, 1 Al 1.76
O (0.4065, 0.9119, 0.6700)  1 Si 1.61, 1 Al 1.76
O (0.2418, 0.1901, 0.6570)  2 Si 1.64-1.66
O (0.3748, 0.7488, 0.5499)  3 Al 1.75-1.88
O (0.2418, 0.8099, 0.1570)  2 Si 1.64-1.66
O (0.7582, 0.8099, 0.3430)  2 Si 1.64-1.66
O (0.4549, 0.5636, 0.0491)  1 H 0.97
O (0.5393, 0.9440, 0.4456)  1 Si 1.65
O (0.7810, 0.3083, 0.1574)  1 Si 1.62, 1 Al 1.75
O (0.7353, 0.3956, 0.3292)  1 Si 1.63, 1 Al 1.76
O (0.4065, 0.0881, 0.1700)  1 Si 1.61, 1 Al 1.76
O (0.4607, 0.0560, 0.5544)  1 Si 1.65
O (0.0331, 0.5484, 0.9449)  1 Si 1.66
O (0.1013, 0.5963, 0.3319)  2 Si 1.64-1.67
O (0.9539, 0.0584, 0.0496)  1 H 0.97
O (0.9669, 0.5484, 0.5551)  1 Si 1.66
O (0.8895, 0.7518, 0.0547)  1 Si 1.63
O (0.8895, 0.2482, 0.5547)  1 Si 1.63
O (0.0461, 0.9416, 0.9504)  1 H 0.97
O (0.2599, 0.1301, 0.8328)  2 Si 1.64-1.66
O (0.5393, 0.0560, 0.9456)  1 Si 1.65
O (0.5935, 0.0881, 0.3300)  1 Si 1.61, 1 Al 1.76
O (0.2190, 0.6917, 0.8426)  1 Si 1.62, 1 Al 1.75
O (0.4549, 0.4364, 0.5491)  1 H 0.97
O (0.2647, 0.3956, 0.1708)  1 Si 1.63, 1 Al 1.76
O (0.5451, 0.5636, 0.4509)  1 H 0.97
O (0.7401, 0.1301, 0.6672)  2 Si 1.64-1.66
Al (0.4587, 0.2630, 0.1354)  4 O 1.75-1.76
Al (0.7512, 0.0860, 0.4990)  6 O 1.88-1.98
Al (0.2488, 0.0860, 0.0010)  6 O 1.88-1.98
Al (0.7478, 0.5847, 0.9996)  6 O 1.87-1.98
Al (0.2522, 0.4153, 0.0004)  6 O 1.87-1.98
Al (0.7478, 0.4153, 0.4996)  6 O 1.87-1.98
Al (0.4587, 0.7370, 0.6354)  4 O 1.75-1.76
Al (0.2522, 0.5847, 0.5004)  6 O 1.87-1.98
Al (0.7512, 0.9140, 0.9990)  6 O 1.88-1.98
Al (0.2488, 0.9140, 0.5010)  6 O 1.88-1.98
Al (0.5413, 0.2630, 0.3646)  4 O 1.75-1.76
Al (0.5413, 0.7370, 0.8646)  4 O 1.75-1.76
H (0.1257, 0.1449, 0.4326)  1 O 0.97
H (0.6351, 0.3456, 0.9420)  1 O 0.97
H (0.3649, 0.6544, 0.0580)  1 O 0.97
H (0.8743, 0.8551, 0.5674)  1 O 0.97
H (0.8743, 0.1449, 0.0674)  1 O 0.97
H (0.6351, 0.6544, 0.4420)  1 O 0.97
H (0.3649, 0.3456, 0.5580)  1 O 0.97
H (0.1257, 0.8551, 0.9326)  1 O 0.97
K (0.0000, 0.1040, 0.2500)  6 O 2.78-2.96
K (0.0000, 0.8960, 0.7500)  6 O 2.78-2.96
Si (0.9775, 0.4345, 0.1366)  4 O 1.62-1.67
Si (0.0225, 0.4345, 0.3634)  4 O 1.62-1.67
Si (0.0225, 0.5655, 0.8634)  4 O 1.62-1.67
Si (0.9775, 0.5655, 0.6366)  4 O 1.62-1.67
Si (0.4558, 0.0681, 0.6354)  4 O 1.61-1.66
Si (0.4558, 0.9319, 0.1354)  4 O 1.61-1.66
Si (0.5442, 0.9319, 0.3646)  4 O 1.61-1.66
Si (0.0562, 0.7588, 0.3650)  4 O 1.63-1.64
Si (0.5442, 0.0681, 0.8646)  4 O 1.61-1.66
Si (0.9438, 0.7588, 0.1350)  4 O 1.63-1.64
Si (0.9438, 0.2412, 0.6350)  4 O 1.63-1.64
Si (0.0562, 0.2412, 0.8650)  4 O 1.63-1.64
Na (0.5000, 0.4472, 0.7500)  2 O 2.40
Na (0.5000, 0.5528, 0.2500)  2 O 2.40

Output
* magnetization: 0.00 μB per cell


| no. | electronic total energy (eV per atom) | D(E_F) (states/eV per cell) |
| --- | --- | --- |
| 1 | -6.905 | 10.8 |
| 2 | -6.305 | 6.7 |
| 3 | -5.188 | 2.1 |
| 4 | -6.363 | 2.7 |
| 5 | -6.199 | 3.5 |
| 6 | -8.934 | 21.2 |
| 7 | -3.190 | 5.7 |
| 8 | -6.599 | 4.2 |
| 9 | -8.387 | 4.3 |
| 10 | -2.971 | 12.1 |
| 11 | -4.218 | 3.5 |
| 12 | -10.633 | 40.0 |
| 13 | -5.491 | 4.9 |
| 14 | -5.468 | 4.2 |
| 15 | -4.097 | 2.2 |
| 16 | -8.926 | 3.2 |
| 17 | -5.088 | 5.6 |
| 18 | -2.631 | 1.2 |
| 19 | -3.115 | 1.3 |
| 20 | -7.122 | 0.0 |